No. 1
Density functional theory data (PBE) for a relaxed PmSm3Ir crystal.

CIF file:
```
data_PmSm3Ir
_symmetry_space_group_name_H-M 'P 1 21/c 1'
_symmetry_Int_Tables_number 14
_cell_length_a 8.064
_cell_length_b 7.536
_cell_length_c 10.246
_cell_angle_alpha 90.00
_cell_angle_beta 106.60
_cell_angle_gamma 90.00
loop_
_symmetry_equiv_pos_as_xyz
'x,y,z'
'-x,-y,-z'
'-x,y+1/2,-z+1/2'
'x,-y+1/2,z+1/2'
loop_
_atom_site_label
_atom_site_fract_x
_atom_site_fract_y
_atom_site_fract_z
Pm1 0.193 0.039 0.254
Sm1 0.068 0.707 0.024
Sm2 0.286 0.506 0.378
Sm3 0.412 0.128 0.605
Ir1 0.436 0.741 0.606
```

Summary:
Calculated volume in Å³/f.u.: 149.2
Magnetization in μB per cell: 0.0
DFT formation energy in eV per atom: -0.287
E above lowest polymorph in meV/atom: 0

---

No. 2
Density functional theory data (PBE) for a relaxed Pm3SmIr3 crystal.

CIF file:
```
data_Pm3SmIr3
_symmetry_space_group_name_H-M 'C 1 2/m 1'
_symmetry_Int_Tables_number 12
_cell_length_a 10.932
_cell_length_b 9.540
_cell_length_c 7.029
_cell_angle_alpha 90.00
_cell_angle_beta 103.56
_cell_angle_gamma 90.00
loop_
_symmetry_equiv_pos_as_xyz
'x,y,z'
'-x,-y,-z'
'-x,y,-z'
'x,-y,z'
'x+1/2,y+1/2,z'
'-x+1/2,-y+1/2,-z'
'-x+1/2,y+1/2,-z'
'x+1/2,-y+1/2,z'
loop_
_atom_site_label
_atom_site_fract_x
_atom_site_fract_y
_atom_site_fract_z
Pm1 0.000 0.189 0.000
Pm2 0.000 0.272 0.500
Pm3 0.201 0.500 0.996
Sm1 0.219 0.000 0.458
Ir1 0.052 0.000 0.714
Ir2 0.239 0.251 0.765
```

Summary:
Calculated volume in Å³/f.u.: 178.2
Magnetization in μB per cell: 0.0
DFT formation energy in eV per atom: -0.547
E above lowest polymorph in meV/atom: 58

---

No. 3
Density functional theory data (PBE) for a relaxed PmSm2Ir crystal.

CIF file:
```
data_PmSm2Ir
_symmetry_space_group_name_H-M 'P n m a'
_symmetry_Int_Tables_number 62
_cell_length_a 7.336
_cell_length_b 9.700
_cell_length_c 6.496
_cell_angle_alpha 90.00
_cell_angle_beta 90.00
_cell_angle_gamma 90.00
loop_
_symmetry_equiv_pos_as_xyz
'x,y,z'
'-x,-y,-z'
'-x+1/2,-y,z+1/2'
'x+1/2,y,-z+1/2'
'x+1/2,-y+1/2,-z+1/2'
'-x+1/2,y+1/2,z+1/2'
'-x,y+1/2,-z'
'x,-y+1/2,z'
loop_
_atom_site_label
_atom_site_fract_x
_atom_site_fract_y
_atom_site_fract_z
Pm1 0.036 0.250 0.140
Sm1 0.176 0.065 0.671
Ir1 0.119 0.750 0.440
```

Summary:
Calculated volume in Å³/f.u.: 115.6
Magnetization in μB per cell: 0.0
DFT formation energy in eV per atom: -0.485
E above lowest polymorph in meV/atom: 0

---

Q: The highest DFT formation energy belongs to which entry?
A: PmSm3Ir

---

Q: calculated volume of number 2 (Pm3SmIr3)?
A: 178.2 Å³/f.u.

---

Q: What is the formula in the first record?
A: PmSm3Ir

---

Q: Number 3 is which compound?
A: PmSm2Ir